The following is a DFT calculation (PBE) of crystalline Mg2VCr3S8 at its relaxed geometry.

Cell and atoms, written as CIF:
```
data_Mg2VCr3S8
_space_group_name_H-M_alt 'P 1'
_space_group_IT_number 1
_cell_length_a 7.217
_cell_length_b 7.217
_cell_length_c 7.217
_cell_angle_alpha 60.15
_cell_angle_beta 60.14
_cell_angle_gamma 60.14
loop_
_space_group_symop_operation_xyz
'x,y,z'
loop_
_atom_site_label
_atom_site_fract_x
_atom_site_fract_y
_atom_site_fract_z
Mg1 0.876 0.876 0.876
Mg2 0.124 0.124 0.124
V1 0.500 0.500 0.500
Cr1 0.500 0.500 0.000
Cr2 0.000 0.500 0.500
Cr3 0.500 0.000 0.500
S1 0.737 0.737 0.737
S2 0.262 0.262 0.711
S3 0.262 0.711 0.262
S4 0.711 0.262 0.262
S5 0.738 0.289 0.738
S6 0.289 0.738 0.738
S7 0.263 0.263 0.263
S8 0.738 0.738 0.289
```

## Properties
Fermi-level density of states   0.395 states/eV/atom
ΔE_f (raw)   -927 meV/atom
DFT total energy   -87.18 eV per cell
SG   R-3m